Crystalline LiRuPt4 at its relaxed geometry. Source: the Alexandria database, functional PBE-GGA.

abc: 7.4038 7.4038 7.4038
angles: 90.00 90.00 90.00
Closest atoms and distances in Å follow each position.
Space group F-43m (No. 216)
Asymmetric unit:
Li 0.0000 0.0000 0.0000 x4  12 Pt 3.07, 4 Ru 3.21
Ru 0.2500 0.2500 0.2500 x4  12 Pt 3.07, 4 Li 3.21
Pt 0.1251 0.1251 0.6251 x16  6 Pt 2.62

Calculated values
For the electronic total energy, the calculation gives -5.79 eV/atom. The density comes out at 14539 kg/m³. The energy of formation from the pure elements is 0.10 eV/atom. The value obtained for the total magnetization is 12.18 μB per cell.